## one
The following is a GGA-PBE calculation of Cd2SiH2 after structural relaxation, from Alexandria via LeMat-Bulk.

Lattice parameters (Å, degrees): 5.4776 5.4776 4.9758 90.00 90.00 90.00
Last column: nearest neighbours and their distance in Å.
Element x y z (fractional)
H (0.2304, 0.7304, 0.0000)  2 Si 1.94
H (0.2696, 0.2304, 0.0000)  2 Si 1.94
Si (0.5000, 0.5000, 0.0000)  4 H 1.94
H (0.7304, 0.7696, 0.0000)  2 Si 1.94
Cd (0.3169, 0.1831, 0.5000)  2 H 2.51
H (0.7696, 0.2696, 0.0000)  2 Si 1.94
Cd (0.6831, 0.8169, 0.5000)  2 H 2.51
Cd (0.1831, 0.6831, 0.5000)  2 H 2.51
Cd (0.8169, 0.3169, 0.5000)  2 H 2.51
Si (0.0000, 0.0000, 0.0000)  4 H 1.94

Values from the calculation:
Density: 5.671 g cm⁻³
Magnetization: 0.00 μB per cell

=====

## two
The following is a GGA-PBE calculation of Cd2SiH2 after structural relaxation, from Alexandria via LeMat-Bulk.

Lattice parameters (Å, degrees): 4.7272 4.7272 4.6843 59.70 59.70 90.00
Last column: nearest neighbours and their distance in Å.
Element x y z (fractional)
Si (0.0000, 0.0000, 0.0000)  8 Cd 2.88, 2 H 2.90
Cd (0.7500, 0.2500, 0.5000)  4 H 2.68, 4 Si 2.88
H (0.5583, 0.5583, 0.8834)  1 H 0.77
Cd (0.2500, 0.7500, 0.5000)  4 H 2.68, 4 Si 2.88
H (0.4417, 0.4417, 0.1166)  1 H 0.77

Values from the calculation:
Density: 5.772 g cm⁻³
Magnetization: 0.00 μB per cell

=====

Of them, two has the highest stability.

=====

## one
The following is a GGA-PBE calculation of CdSiH after structural relaxation, from Alexandria via LeMat-Bulk.

Lattice parameters (Å, degrees): 3.8472 4.8418 6.4670 79.04 72.40 89.99
Last column: nearest neighbours and their distance in Å.
Element x y z (fractional)
Si (0.7141, 0.0870, 0.5708)  1 H 1.50
Cd (0.5000, 0.0000, 0.0000)  2 Si 2.59
H (0.7642, 0.3973, 0.4721)  1 Si 1.50
Cd (0.0000, 0.5000, 0.0000)  2 H 2.85, 4 Cd 3.09
Si (0.2859, 0.9130, 0.4292)  1 H 1.50
H (0.2358, 0.6027, 0.5279)  1 Si 1.50

Values from the calculation:
Density: 4.177 g cm⁻³
Magnetization: 0.00 μB per cell

=====

## two
The following is a GGA-PBE calculation of CdSiH after structural relaxation, from Alexandria via LeMat-Bulk.

Lattice parameters (Å, degrees): 4.9927 3.7492 5.7421 90.00 101.33 90.00
Last column: nearest neighbours and their distance in Å.
Element x y z (fractional)
Si (0.4207, 0.7948, 0.5894)  1 H 1.51
Si (0.5793, 0.2948, 0.4106)  1 H 1.51
H (0.1194, 0.7536, 0.4905)  1 Si 1.51
Cd (0.7642, 0.4994, 0.9924)  2 Si 2.82-2.84, 2 Cd 3.00, 2 H 3.05-3.08
Cd (0.2358, 0.9994, 0.0076)  2 Si 2.82-2.84, 2 Cd 3.00, 2 H 3.05-3.08
H (0.8806, 0.2536, 0.5095)  1 Si 1.51

Values from the calculation:
Density: 4.459 g cm⁻³
Magnetization: 0.00 μB per cell

=====

## three
The following is a GGA-PBE calculation of CdSiH after structural relaxation, from Alexandria via LeMat-Bulk.

Lattice parameters (Å, degrees): 4.6932 4.7254 5.9239 107.75 105.90 95.34
Last column: nearest neighbours and their distance in Å.
Element x y z (fractional)
H (0.5028, 0.8937, 0.7958)  1 Si 1.52
Cd (0.0000, 0.5000, 0.0000)  2 Si 2.57
H (0.4972, 0.1063, 0.2042)  1 Si 1.52
Cd (0.0000, 0.0000, 0.5000)  2 Si 2.57, 2 H 2.72
Si (0.3140, 0.3101, 0.3329)  1 H 1.52
Si (0.6860, 0.6899, 0.6671)  1 H 1.52

Values from the calculation:
Density: 3.980 g cm⁻³
Magnetization: 0.00 μB per cell

=====

Of them, one has the highest stability.

=====

## one
The following is a GGA-PBE calculation of Cd2SnH after structural relaxation, from Alexandria via LeMat-Bulk.

Lattice parameters (Å, degrees): 5.3088 5.3088 7.2902 68.65 68.65 90.00
Last column: nearest neighbours and their distance in Å.
Element x y z (fractional)
Cd (0.2627, 0.6250, 0.2500)  2 H 2.13
Sn (0.7500, 0.2500, 0.5000)  4 Cd 2.91
Sn (0.0000, 0.0000, 0.0000)  4 Cd 2.91
H (0.5000, 0.5000, 0.0000)  4 Cd 2.13
Cd (0.3750, 0.5127, 0.7500)  2 H 2.13
Cd (0.8750, 0.7373, 0.7500)  2 H 2.13
H (0.2500, 0.7500, 0.5000)  4 Cd 2.13
Cd (0.4873, 0.1250, 0.2500)  2 H 2.13

Values from the calculation:
Density: 6.496 g cm⁻³
Magnetization: 0.00 μB per cell

=====

## two
The following is a GGA-PBE calculation of Cd2SnH after structural relaxation, from Alexandria via LeMat-Bulk.

Lattice parameters (Å, degrees): 4.8896 4.8896 4.8896 60.00 60.00 60.00
Last column: nearest neighbours and their distance in Å.
Element x y z (fractional)
Cd (0.7500, 0.7500, 0.7500)  4 H 2.99, 4 Sn 2.99
H (0.0000, 0.0000, 0.0000)  8 Cd 2.99
Sn (0.5000, 0.5000, 0.5000)  8 Cd 2.99
Cd (0.2500, 0.2500, 0.2500)  4 Sn 2.99, 4 H 2.99

Values from the calculation:
Density: 6.921 g cm⁻³
Magnetization: 0.39 μB per cell

=====

Of them, one has the highest stability.

=====

## one
The following is a GGA-PBE calculation of Cd2SnH2 after structural relaxation, from Alexandria via LeMat-Bulk.

Lattice parameters (Å, degrees): 5.0612 4.9628 4.9634 61.40 59.35 59.34
Last column: nearest neighbours and their distance in Å.
Element x y z (fractional)
H (0.5555, 0.4474, 0.4415)  1 H 0.76
Sn (0.0000, 0.0000, 0.0000)  2 H 3.05, 8 Cd 3.06
Cd (0.7504, 0.7499, 0.7493)  4 H 2.85-2.88, 4 Sn 3.06
H (0.4445, 0.5526, 0.5585)  1 H 0.76
Cd (0.2496, 0.2501, 0.2507)  4 H 2.85-2.88, 4 Sn 3.06

Values from the calculation:
Density: 6.510 g cm⁻³
Magnetization: 0.00 μB per cell

=====

## two
The following is a GGA-PBE calculation of Cd2SnH2 after structural relaxation, from Alexandria via LeMat-Bulk.

Lattice parameters (Å, degrees): 3.4212 3.4212 7.5406 76.89 76.89 90.00
Last column: nearest neighbours and their distance in Å.
Element x y z (fractional)
Cd (0.6564, 0.6564, 0.6872)  4 H 2.17
Sn (0.0000, 0.0000, 0.0000)  8 Cd 3.29, 4 Sn 3.42
Cd (0.3436, 0.3436, 0.3127)  4 H 2.17
H (0.2500, 0.7500, 0.5000)  4 Cd 2.17, 4 H 2.42
H (0.7500, 0.2500, 0.5000)  4 Cd 2.17, 4 H 2.42

Values from the calculation:
Density: 6.864 g cm⁻³
Magnetization: 0.00 μB per cell

=====

Of them, one has the highest stability.

=====

## one
The following is a GGA-PBE calculation of CdSnH after structural relaxation, from Alexandria via LeMat-Bulk.

Lattice parameters (Å, degrees): 3.9092 9.2144 11.9739 49.79 90.00 90.00
Last column: nearest neighbours and their distance in Å.
Element x y z (fractional)
Sn (0.2526, 0.6388, 0.6367)  4 Cd 3.02-3.04, 2 Sn 3.17
Sn (0.7474, 0.3612, 0.3633)  4 Cd 3.02-3.04, 2 Sn 3.17
Sn (0.2474, 0.1388, 0.6367)  4 Cd 3.02-3.04, 2 Sn 3.17
Cd (0.7513, 0.3704, 0.6590)  4 Sn 3.02-3.04, 1 H 3.08
Cd (0.2513, 0.1296, 0.3410)  4 Sn 3.02-3.04, 1 H 3.08
H (0.4823, 0.0229, 0.9606)  1 H 0.76
H (0.5177, 0.9771, 0.0394)  1 H 0.76
Sn (0.7526, 0.8612, 0.3633)  4 Cd 3.02-3.04, 2 Sn 3.17
H (0.9823, 0.4771, 0.0394)  1 H 0.76
H (0.0177, 0.5229, 0.9606)  1 H 0.76
Cd (0.2487, 0.6296, 0.3410)  4 Sn 3.02-3.04, 1 H 3.08
Cd (0.7487, 0.8704, 0.6590)  4 Sn 3.02-3.04, 1 H 3.08

Values from the calculation:
Density: 4.681 g cm⁻³
Magnetization: 0.00 μB per cell

=====

## two
The following is a GGA-PBE calculation of CdSnH after structural relaxation, from Alexandria via LeMat-Bulk.

Lattice parameters (Å, degrees): 3.1168 3.9550 5.6643 110.43 105.97 90.00
Last column: nearest neighbours and their distance in Å.
Element x y z (fractional)
H (0.8946, 0.8946, 0.7892)  1 Sn 1.96
Sn (0.7019, 0.7019, 0.4039)  1 H 1.96
Cd (0.4034, 0.4034, 0.8069)  4 H 2.52

Values from the calculation:
Density: 6.163 g cm⁻³
Magnetization: 0.00 μB per cell

=====

## three
The following is a GGA-PBE calculation of CdSnH after structural relaxation, from Alexandria via LeMat-Bulk.

Lattice parameters (Å, degrees): 4.1642 4.1642 5.1900 113.65 113.65 90.00
Last column: nearest neighbours and their distance in Å.
Element x y z (fractional)
Sn (0.1715, 0.1715, 0.3430)  1 H 1.83
H (0.9577, 0.9577, 0.9155)  1 Sn 1.83, 1 Cd 2.03
Cd (0.7208, 0.7208, 0.4416)  1 H 2.03

Values from the calculation:
Density: 5.201 g cm⁻³
Magnetization: 0.00 μB per cell

=====

## four
The following is a GGA-PBE calculation of CdSnH after structural relaxation, from Alexandria via LeMat-Bulk.

Lattice parameters (Å, degrees): 3.2944 3.2944 6.2215 90.00 90.00 120.00
Last column: nearest neighbours and their distance in Å.
Element x y z (fractional)
Cd (0.3333, 0.6667, 0.5686)  3 H 2.07
H (0.6667, 0.3333, 0.4359)  3 Cd 2.07
Sn (0.0000, 0.0000, 0.9955)  3 Cd 3.27, 6 Sn 3.29, 3 H 3.34

Values from the calculation:
Density: 6.592 g cm⁻³
Magnetization: 0.00 μB per cell

=====

Of them, one has the highest stability.

=====

## one
The following is a GGA-PBE calculation of Tl2CdSnH after structural relaxation, from Alexandria via LeMat-Bulk.

Lattice parameters (Å, degrees): 5.0971 5.0971 4.5760 90.00 90.00 90.00
Last column: nearest neighbours and their distance in Å.
Element x y z (fractional)
Tl (0.0000, 0.5000, 0.0000)  2 H 2.55
Cd (0.5000, 0.5000, 0.5000)  8 Tl 3.42, 4 Sn 3.60
H (0.0000, 0.0000, 0.0000)  2 Sn 2.29, 4 Tl 2.55
Tl (0.5000, 0.0000, 0.0000)  2 H 2.55
Sn (0.0000, 0.0000, 0.5000)  2 H 2.29

Values from the calculation:
Density: 8.952 g cm⁻³
Magnetization: 0.00 μB per cell

=====

## two
The following is a GGA-PBE calculation of Tl2CdSnH after structural relaxation, from Alexandria via LeMat-Bulk.

Lattice parameters (Å, degrees): 5.4632 5.4632 4.0122 90.00 90.00 90.00
Last column: nearest neighbours and their distance in Å.
Element x y z (fractional)
H (0.0000, 0.0000, 0.0000)  2 Cd 2.01
Tl (0.5000, 0.0000, 0.0000)  2 H 2.73
Cd (0.0000, 0.0000, 0.5000)  2 H 2.01
Sn (0.5000, 0.5000, 0.5000)  8 Tl 3.39
Tl (0.0000, 0.5000, 0.0000)  2 H 2.73

Values from the calculation:
Density: 8.887 g cm⁻³
Magnetization: 0.00 μB per cell

=====

Of them, two has the highest stability.

=====

## one
The following is a GGA-PBE calculation of ZrCdSnH2 after structural relaxation, from Alexandria via LeMat-Bulk.

Lattice parameters (Å, degrees): 3.2027 5.2140 5.2230 111.15 96.74 96.92
Last column: nearest neighbours and their distance in Å.
Element x y z (fractional)
H (0.7458, 0.7196, 0.4299)  2 Zr 1.99-2.01, 1 H 2.05, 1 Cd 2.20
H (0.8768, 0.0790, 0.7816)  2 Zr 1.99-2.01, 1 H 2.05, 1 Cd 2.20
Sn (0.3071, 0.1898, 0.3155)  2 H 2.76-2.78
Cd (0.8094, 0.5178, 0.9893)  2 H 2.20
Zr (0.3118, 0.8285, 0.6793)  4 H 1.99-2.01

Values from the calculation:
Density: 6.773 g cm⁻³
Magnetization: 0.00 μB per cell

=====

## two
The following is a GGA-PBE calculation of ZrCdSnH2 after structural relaxation, from Alexandria via LeMat-Bulk.

Lattice parameters (Å, degrees): 5.0985 3.1678 5.4212 90.00 106.87 90.00
Last column: nearest neighbours and their distance in Å.
Element x y z (fractional)
Zr (0.0276, 0.0000, 0.2084)  3 H 1.91-1.99
Sn (0.5464, 0.5000, 0.3011)  1 H 2.25
H (0.8152, 0.5000, 0.0368)  2 H 1.86, 2 Zr 1.99
Cd (0.1308, 0.5000, 0.7375)  3 H 2.47-2.60
H (0.8148, 0.0000, 0.8554)  2 H 1.86, 1 Zr 1.91

Values from the calculation:
Density: 6.428 g cm⁻³
Magnetization: 0.00 μB per cell

=====

Of them, one has the highest stability.

=====

## one
The following is a GGA-PBE calculation of ZrCdSnH2 after structural relaxation, from Alexandria via LeMat-Bulk.

Lattice parameters (Å, degrees): 3.3011 6.9582 3.5687 90.00 90.83 90.00
Last column: nearest neighbours and their distance in Å.
Element x y z (fractional)
Sn (0.0000, 0.5749, 0.0000)  4 H 2.41-2.45
Zr (0.5000, 0.8524, 0.5000)  3 H 1.92-2.02
H (0.0000, 0.0204, 0.5000)  2 Zr 2.02, 2 Cd 2.07
Cd (0.0000, 0.1716, 0.0000)  2 H 2.07
H (0.5000, 0.5763, 0.5000)  1 Zr 1.92

Values from the calculation:
Density: 6.571 g cm⁻³
Magnetization: 0.00 μB per cell

=====

## two
The following is a GGA-PBE calculation of ZrCdSnH2 after structural relaxation, from Alexandria via LeMat-Bulk.

Lattice parameters (Å, degrees): 5.5313 3.1225 11.2115 90.00 114.47 90.00
Last column: nearest neighbours and their distance in Å.
Element x y z (fractional)
Cd (0.3302, 0.0000, 0.3309)  2 H 2.10-2.16
Cd (0.3302, 0.5000, 0.8309)  2 H 2.10-2.16
Sn (0.8342, 0.0000, 0.6223)  3 H 2.83-2.97, 3 Zr 2.98-3.07, 2 Sn 3.12
H (0.1471, 0.0000, 0.4614)  2 Zr 2.09, 1 Cd 2.10
H (0.6762, 0.0000, 0.2882)  2 Zr 1.99, 1 Cd 2.16
Zr (0.8730, 0.5000, 0.3951)  4 H 1.99-2.09
H (0.1471, 0.5000, 0.9614)  2 Zr 2.09, 1 Cd 2.10
Zr (0.8730, 0.0000, 0.8951)  4 H 1.99-2.09
Sn (0.8342, 0.5000, 0.1223)  3 H 2.83-2.97, 3 Zr 2.98-3.07, 2 Sn 3.12
H (0.6762, 0.5000, 0.7882)  2 Zr 1.99, 1 Cd 2.16

Values from the calculation:
Density: 6.112 g cm⁻³
Magnetization: 0.00 μB per cell

=====

## three
The following is a GGA-PBE calculation of ZrCdSnH2 after structural relaxation, from Alexandria via LeMat-Bulk.

Lattice parameters (Å, degrees): 3.0812 4.9874 5.5914 90.00 90.00 90.00
Last column: nearest neighbours and their distance in Å.
Element x y z (fractional)
Zr (0.0000, 0.5000, 0.8316)  4 H 2.08
Cd (0.5000, 0.5000, 0.3312)  2 H 2.26
H (0.5000, 0.7254, 0.6826)  2 Zr 2.08, 1 H 2.25, 1 Sn 2.25, 1 Cd 2.26
H (0.5000, 0.2746, 0.6826)  2 Zr 2.08, 1 H 2.25, 1 Sn 2.25, 1 Cd 2.26
Sn (0.5000, 0.0000, 0.0023)  2 H 2.25

Values from the calculation:
Density: 6.268 g cm⁻³
Magnetization: 0.00 μB per cell

=====

## four
The following is a GGA-PBE calculation of ZrCdSnH2 after structural relaxation, from Alexandria via LeMat-Bulk.

Lattice parameters (Å, degrees): 4.1229 3.1301 6.6917 90.00 90.00 90.00
Last column: nearest neighbours and their distance in Å.
Element x y z (fractional)
Sn (0.8062, 0.0000, 0.6514)  1 H 2.05
Zr (0.2745, 0.5000, 0.3629)  4 H 2.01-2.07
H (0.2750, 0.0000, 0.1601)  2 Zr 2.07, 2 Cd 2.12-2.13
H (0.3379, 0.0000, 0.5485)  2 Zr 2.01, 1 Sn 2.05
Cd (0.7760, 0.0000, 0.0815)  2 H 2.12-2.13

Values from the calculation:
Density: 6.237 g cm⁻³
Magnetization: 0.00 μB per cell

=====

Of them, two has the highest stability.